1.
{
  "formula": "NbSn2Mo",
  "functional": "PBE-GGA",
  "state": "optimized geometry",
  "e_above_lowest_polymorph_mev_per_atom": 396,
  "lattice": [[7.6059, 0.0000, 0.0000], [0.0000, 7.6059, 0.0000], [3.8030, 3.8030, 2.9595]],
  "species": ["Sn", "Sn", "Sn", "Sn", "Nb", "Nb", "Mo", "Mo"],
  "frac_coords": [[0.8750, 0.8852, 0.7500], [0.1148, 0.6250, 0.2500], [0.6352, 0.1250, 0.2500], [0.3750, 0.3648, 0.7500], [0.2500, 0.7500, 0.5000], [0.5000, 0.5000, 0.0000], [0.7500, 0.2500, 0.5000], [0.0000, 0.0000, 0.0000]]
}



2.
{
  "formula": "NbSn2Mo",
  "functional": "PBE-GGA",
  "state": "optimized geometry",
  "e_above_lowest_polymorph_mev_per_atom": 272,
  "lattice": [[3.0825, 0.0000, 0.0000], [1.5413, 2.6696, 0.0000], [1.5413, 0.8899, 10.2677]],
  "species": ["Sn", "Sn", "Mo", "Nb"],
  "frac_coords": [[0.0934, 0.0934, 0.7197], [0.9066, 0.9066, 0.2803], [0.5000, 0.5000, 0.5000], [0.0000, 0.0000, 0.0000]]
}



3.
{
  "formula": "Nb3SnMo",
  "functional": "PBE-GGA",
  "state": "optimized geometry",
  "e_above_lowest_polymorph_mev_per_atom": 881,
  "lattice": [[-1.5145, -1.6198, -4.3102], [3.4883, -3.3653, 0.0390], [-3.0055, -3.0897, 2.2172]],
  "species": ["Nb", "Nb", "Nb", "Sn", "Mo"],
  "frac_coords": [[0.5000, 0.0000, 0.0000], [0.0000, 0.0000, 0.5000], [0.0000, 0.5000, 0.0000], [0.5000, 0.5000, 0.5000], [0.0000, 0.0000, 0.0000]]
}



4.
{
  "formula": "Nb2Sn2Mo",
  "functional": "PBE-GGA",
  "state": "optimized geometry",
  "e_above_lowest_polymorph_mev_per_atom": 364,
  "lattice": [[-0.2856, 0.8249, 3.6770], [3.5738, -1.1103, 0.5267], [3.9289, 6.5800, 0.7711]],
  "species": ["Mo", "Sn", "Sn", "Nb", "Nb"],
  "frac_coords": [[0.0000, 0.0000, 0.0000], [0.4038, 0.4038, 0.1923], [0.5962, 0.5962, 0.8077], [0.2500, 0.7500, 0.5000], [0.7500, 0.2500, 0.5000]]
}



5.
{
  "formula": "Nb2SnMo",
  "functional": "PBE-GGA",
  "state": "optimized geometry",
  "total_energy_ev_per_atom": -8.20,
  "lattice": [[7.6053, 0.0000, 0.0000], [0.0000, 7.6053, 0.0000], [3.8027, 3.8027, 2.7997]],
  "species": ["Nb", "Nb", "Nb", "Nb", "Sn", "Sn", "Mo", "Mo"],
  "frac_coords": [[0.5819, 0.1250, 0.2500], [0.1681, 0.6250, 0.2500], [0.3750, 0.4181, 0.7500], [0.8750, 0.8319, 0.7500], [0.0000, 0.0000, 0.0000], [0.7500, 0.2500, 0.5000], [0.5000, 0.5000, 0.0000], [0.2500, 0.7500, 0.5000]]
}



6.
{
  "formula": "Nb2Sn2Mo",
  "functional": "PBE-GGA",
  "state": "optimized geometry",
  "e_above_lowest_polymorph_mev_per_atom": 168,
  "lattice": [[-1.3739, -3.5724, -5.6409], [-3.6332, -4.4319, 3.6916], [-3.6648, 2.4536, -0.6612]],
  "species": ["Mo", "Mo", "Nb", "Nb", "Nb", "Nb", "Sn", "Sn", "Sn", "Sn"],
  "frac_coords": [[0.5000, 0.5000, 0.0000], [0.0000, 0.0000, 0.0000], [0.1441, 0.3559, 0.0000], [0.8559, 0.6441, 0.0000], [0.6441, 0.1441, 0.0000], [0.3559, 0.8559, 0.0000], [0.6704, 0.8296, 0.5000], [0.3296, 0.1704, 0.5000], [0.8296, 0.3296, 0.5000], [0.1704, 0.6704, 0.5000]]
}



7.
{
  "formula": "Nb2SnMo",
  "functional": "PBE-GGA",
  "state": "optimized geometry",
  "total_energy_ev_per_atom": -8.79,
  "lattice": [[-1.3527, -1.6678, 2.7461], [3.0479, -1.6085, 0.5245], [1.7650, 4.5238, 3.6168]],
  "species": ["Mo", "Nb", "Nb", "Sn"],
  "frac_coords": [[0.5000, 0.5000, 0.0000], [0.0000, 0.0000, 0.7671], [0.0000, 0.0000, 0.2329], [0.5000, 0.5000, 0.5000]]
}



8.
{
  "formula": "NbSn2Mo",
  "functional": "PBE-GGA",
  "state": "optimized geometry",
  "e_above_lowest_polymorph_mev_per_atom": 0,
  "lattice": [[0.0000, 3.3700, 3.3700], [3.3700, 0.0000, 3.3700], [3.3700, 3.3700, 0.0000]],
  "species": ["Mo", "Sn", "Sn", "Nb"],
  "frac_coords": [[0.5000, 0.5000, 0.5000], [0.2500, 0.2500, 0.2500], [0.7500, 0.7500, 0.7500], [0.0000, 0.0000, 0.0000]]
}



9.
{
  "formula": "Nb3SnMo",
  "functional": "PBE-GGA",
  "state": "optimized geometry",
  "e_above_lowest_polymorph_mev_per_atom": 1938,
  "lattice": [[4.9551, 0.0000, 0.0000], [0.0000, 4.9551, 0.0000], [0.0000, 0.0000, 4.9551]],
  "species": ["Sn", "Nb", "Nb", "Nb", "Mo"],
  "frac_coords": [[0.0000, 0.0000, 0.0000], [0.0000, 0.0000, 0.5000], [0.5000, 0.0000, 0.0000], [0.0000, 0.5000, 0.0000], [0.5000, 0.5000, 0.5000]]
}



10.
{
  "formula": "Nb2Sn2Mo",
  "functional": "PBE-GGA",
  "state": "optimized geometry",
  "e_above_lowest_polymorph_mev_per_atom": 448,
  "lattice": [[3.8169, 0.0000, 0.0000], [0.0000, 3.8169, 0.0000], [1.9084, 1.9084, 7.2792]],
  "species": ["Nb", "Nb", "Mo", "Sn", "Sn"],
  "frac_coords": [[0.4077, 0.4077, 0.1846], [0.5923, 0.5923, 0.8154], [0.0000, 0.0000, 0.0000], [0.2500, 0.7500, 0.5000], [0.7500, 0.2500, 0.5000]]
}



Number 1: D(E_F) 6.08 states/eV per cell. Number 2: D(E_F) 4.98 states/eV per cell. Number 3: D(E_F) 3.08 states/eV per cell. Number 4: D(E_F) 5.60 states/eV per cell. Number 5: D(E_F) 6.85 states/eV per cell. Number 6: D(E_F) 10.31 states/eV per cell. Number 7: D(E_F) 3.12 states/eV per cell. Number 8: D(E_F) 2.62 states/eV per cell. Number 9: D(E_F) 10.55 states/eV per cell. Number 10: D(E_F) 3.72 states/eV per cell.